1.
Compound: AcDy6Y3
Source: Alexandria
Functional: PBE
Structure: optimized geometry

Cell: 9.8867 9.8867 6.9830 Å, 44.93 44.93 60.00°
Element x y z (fractional)
Y  0.6389  0.6389  0.0833
Dy  0.7343  0.0654  0.8005
Dy  0.9001  0.5560  0.2999
Y  0.1614  0.1614  0.5159
Dy  0.2439  0.9001  0.2999
Dy  0.0654  0.3997  0.8005
Dy  0.5560  0.2439  0.2999
Y  0.4002  0.4002  0.7994
Ac  0.9000  0.9000  0.3001
Dy  0.3997  0.7343  0.8005

Values from the calculation:
Symmetry ... R32 (155)
ΔE_f ... 0.325 eV per atom

2.
Compound: Ac12Dy3Y
Source: Alexandria
Functional: PBE
Structure: optimized geometry

Cell: 5.4888 5.4888 21.9529 Å, 90.00 90.00 90.00°
Element x y z (fractional)
Y  0.0000  0.0000  0.0000
Ac  0.0000  0.5000  0.6249
Dy  0.0000  0.0000  0.2501
Ac  0.5000  0.0000  0.3751
Ac  0.5000  0.0000  0.8746
Ac  0.5000  0.5000  0.5000
Ac  0.0000  0.5000  0.8746
Ac  0.5000  0.5000  0.0000
Dy  0.0000  0.0000  0.5000
Ac  0.5000  0.0000  0.6249
Ac  0.5000  0.0000  0.1254
Ac  0.5000  0.5000  0.2504
Ac  0.0000  0.5000  0.1254
Ac  0.5000  0.5000  0.7496
Ac  0.0000  0.5000  0.3751
Dy  0.0000  0.0000  0.7499

Values from the calculation:
Symmetry ... P4/mmm (123)
ΔE_f ... 0.035 eV per atom

3.
Compound: AcDy8Y4
Source: Alexandria
Functional: PBE
Structure: optimized geometry

Cell: 7.8419 7.8419 7.8419 Å, 90.08 90.08 90.08°
Site moments in Bohr magnetons follow the coordinates.
Element x y z (fractional)
Dy  0.7630  0.2380  0.7630  0.08
Y  0.5000  0.5000  0.0000  0.15
Y  0.0000  0.0000  0.0000  -0.06
Dy  0.2370  0.7620  0.2370  0.08
Y  0.0000  0.5000  0.5000  0.15
Dy  0.7630  0.7630  0.2380  0.08
Dy  0.2372  0.2372  0.2372  0.08
Dy  0.2380  0.7630  0.7630  0.08
Dy  0.7620  0.2370  0.2370  0.08
Dy  0.2370  0.2370  0.7620  0.08
Ac  0.5000  0.5000  0.5000  0.04
Y  0.5000  0.0000  0.5000  0.15
Dy  0.7628  0.7628  0.7628  0.08

Values from the calculation:
Symmetry ... R-3m (166)
ΔE_f ... 0.544 eV per atom

4.
Compound: AcDy3Y8
Source: Alexandria
Functional: PBE
Structure: optimized geometry

Cell: 8.7970 8.7970 8.7970 Å, 97.73 97.55 137.23°
Element x y z (fractional)
Y  0.4917  0.7573  0.7340
Y  0.1717  0.7481  0.9194
Ac  0.0000  0.0000  0.0000
Dy  0.5000  0.7666  0.2666
Dy  0.0000  0.5000  0.5000
Y  0.8287  0.2523  0.0806
Y  0.9766  0.2426  0.7343
Dy  0.5000  0.2334  0.7334
Y  0.5083  0.2423  0.2657
Y  0.8283  0.7477  0.5763
Y  0.1713  0.2519  0.4237
Y  0.0234  0.7577  0.2660

Values from the calculation:
Symmetry ... Immm (71)
ΔE_f ... 0.344 eV per atom

5.
Compound: Ac4DyY5
Source: Alexandria
Functional: PBE
Structure: optimized geometry

Cell: 3.8162 3.8162 25.2475 Å, 90.00 90.00 90.00°
Element x y z (fractional)
Ac  0.0000  0.0000  0.8056
Y  0.5000  0.5000  0.7039
Ac  0.0000  0.0000  0.6017
Y  0.5000  0.5000  0.9091
Ac  0.0000  0.0000  0.1944
Y  0.5000  0.5000  0.2961
Ac  0.0000  0.0000  0.3983
Dy  0.0000  0.0000  0.0000
Y  0.5000  0.5000  0.5000
Y  0.5000  0.5000  0.0909

Values from the calculation:
Symmetry ... P4/mmm (123)
ΔE_f ... 0.051 eV per atom

6.
Compound: Ac5DyY4
Source: Alexandria
Functional: PBE
Structure: optimized geometry

Cell: 3.8921 3.8921 25.0884 Å, 90.00 90.00 90.00°
Element x y z (fractional)
Y  0.0000  0.0000  0.6002
Ac  0.5000  0.5000  0.5000
Y  0.0000  0.0000  0.1994
Y  0.0000  0.0000  0.3998
Ac  0.5000  0.5000  0.2995
Ac  0.5000  0.5000  0.7005
Ac  0.5000  0.5000  0.9007
Dy  0.0000  0.0000  0.0000
Y  0.0000  0.0000  0.8006
Ac  0.5000  0.5000  0.0993

Values from the calculation:
Symmetry ... P4/mmm (123)
ΔE_f ... 0.046 eV per atom

7.
Compound: Ac6Dy2Y
Source: Alexandria
Functional: PBE
Structure: optimized geometry

Cell: 9.8160 12.9779 12.9779 Å, 81.19 132.46 132.46°
Element x y z (fractional)
Ac  0.4213  0.9305  0.6248
Y  0.7500  0.9742  0.0258
Dy  0.8891  0.4644  0.1793
Ac  0.8234  0.7190  0.1568
Ac  0.5787  0.0695  0.3752
Dy  0.1109  0.5356  0.8207
Y  0.2500  0.0258  0.9742
Dy  0.6109  0.8207  0.5356
Ac  0.5970  0.3809  0.2946
Ac  0.6766  0.8432  0.2810
Ac  0.9030  0.7054  0.6191
Dy  0.3891  0.1793  0.4644
Ac  0.3234  0.1568  0.7190
Ac  0.0787  0.3752  0.0695
Ac  0.1766  0.2810  0.8432
Ac  0.4030  0.6191  0.7054
Ac  0.0970  0.2946  0.3809
Ac  0.9213  0.6248  0.9305

Values from the calculation:
Symmetry ... C2/c (15)
ΔE_f ... 0.181 eV per atom

8.
Compound: Ac3Dy2Y7
Source: Alexandria
Functional: PBE
Structure: optimized geometry

Cell: 3.7705 5.7784 20.6807 Å, 90.00 95.23 90.00°
Site moments in Bohr magnetons follow the coordinates.
Element x y z (fractional)
Ac  0.8279  0.0000  0.6560  0.01
Ac  0.5000  0.5000  0.0000  0.00
Y  0.2840  0.5000  0.5680  0.17
Y  0.5843  0.0000  0.1681  0.01
Y  0.7160  0.5000  0.4320  0.17
Y  0.9300  0.5000  0.8604  0.00
Ac  0.1721  0.0000  0.3440  0.01
Dy  0.3627  0.5000  0.7256  0.01
Y  0.4157  0.0000  0.8319  0.01
Dy  0.6373  0.5000  0.2744  0.01
Y  0.0700  0.5000  0.1396  0.00
Y  0.0000  0.0000  0.0000  0.00

Values from the calculation:
Symmetry ... Cmmm (65)
ΔE_f ... 0.240 eV per atom

9.
Compound: Ac3DyY2
Source: Alexandria
Functional: PBE
Structure: optimized geometry

Cell: 7.5594 6.5636 12.5540 Å, 110.42 90.00 125.16°
Element x y z (fractional)
Dy  0.8740  0.0000  0.7500
Y  0.7910  0.3332  0.5839
Ac  0.3739  0.0000  0.7500
Y  0.2090  0.6668  0.4161
Ac  0.2912  0.3338  0.5832
Y  0.5422  0.3332  0.0839
Ac  0.6261  0.0000  0.2500
Ac  0.9574  0.6662  0.9168
Y  0.4578  0.6668  0.9161
Ac  0.0426  0.3338  0.0832
Ac  0.7088  0.6662  0.4168
Dy  0.1260  0.0000  0.2500

Values from the calculation:
Symmetry ... C2/c (15)
ΔE_f ... 0.076 eV per atom

10.
Compound: Ac2DyY
Source: Alexandria
Functional: PBE
Structure: optimized geometry

Cell: 3.8988 3.8988 9.9555 Å, 90.00 90.00 90.00°
Element x y z (fractional)
Dy  0.5000  0.5000  0.0000
Ac  0.0000  0.0000  0.7508
Y  0.5000  0.5000  0.5000
Ac  0.0000  0.0000  0.2492

Values from the calculation:
Symmetry ... P4/mmm (123)
Energy above the lowest structure with this stoichiometry ... 3 meV per atom
ΔE_f ... 0.047 eV per atom

11.
Compound: Ac2DyY
Source: Alexandria
Functional: PBE
Structure: optimized geometry

Cell: 5.0442 5.4776 5.4776 Å, 90.00 90.00 90.00°
Element x y z (fractional)
Ac  0.0000  0.0000  0.5000
Dy  0.5000  0.5000  0.5000
Ac  0.0000  0.5000  0.0000
Y  0.5000  0.0000  0.0000

Values from the calculation:
Symmetry ... P4/mmm (123)
Energy above the lowest structure with this stoichiometry ... 0 meV per atom
ΔE_f ... 0.044 eV per atom

12.
Compound: Ac3DyY3
Source: Alexandria
Functional: PBE
Structure: optimized geometry

Cell: 9.9184 9.9184 8.3889 Å, 53.76 53.76 60.00°
Element x y z (fractional)
Dy  0.7435  0.7435  0.7694
Ac  0.1136  0.9582  0.2520
Ac  0.9582  0.6761  0.2520
Y  0.1830  0.5988  0.7508
Ac  0.8864  0.0418  0.7480
Dy  0.2565  0.2565  0.2306
Y  0.4674  0.1830  0.7508
Ac  0.6761  0.1136  0.2520
Y  0.4012  0.5326  0.2492
Ac  0.3239  0.8864  0.7480
Y  0.5326  0.8170  0.2492
Y  0.5988  0.4674  0.7508
Ac  0.0418  0.3239  0.7480
Y  0.8170  0.4012  0.2492

Values from the calculation:
Symmetry ... R-3 (148)
ΔE_f ... 0.059 eV per atom

13.
Compound: AcDyY5
Source: Alexandria
Functional: PBE
Structure: optimized geometry

Cell: 7.0915 8.6430 8.6430 Å, 98.81 102.31 102.31°
Element x y z (fractional)
Y  0.4663  0.1028  0.3451
Y  0.3600  0.2224  0.7658
Ac  0.7500  0.3456  0.1544
Y  0.8600  0.2658  0.7224
Y  0.6400  0.7776  0.2342
Ac  0.2500  0.6544  0.8456
Y  0.9663  0.8451  0.6028
Y  0.1400  0.7342  0.2776
Dy  0.5000  0.5000  0.5000
Y  0.5337  0.8972  0.6549
Y  0.2500  0.3882  0.1118
Y  0.7500  0.6118  0.8882
Y  0.0337  0.1549  0.3972
Dy  0.0000  0.0000  0.0000

Values from the calculation:
Symmetry ... C2/c (15)
ΔE_f ... 0.203 eV per atom

14.
Compound: Ac8DyY6
Source: Alexandria
Functional: PBE
Structure: optimized geometry

Cell: 7.1764 9.9936 9.9936 Å, 120.00 90.00 90.00°
Element x y z (fractional)
Ac  0.1168  0.0492  0.6934
Y  0.4022  0.3287  0.9655
Y  0.4022  0.0345  0.3633
Y  0.5978  0.6713  0.0345
Y  0.5978  0.3633  0.3287
Ac  0.1168  0.3066  0.3558
Ac  0.8832  0.9508  0.3066
Ac  0.1168  0.6442  0.9508
Ac  0.2743  0.6667  0.3333
Y  0.5978  0.9655  0.6367
Dy  0.5000  0.0000  0.0000
Ac  0.7257  0.3333  0.6667
Ac  0.8832  0.3558  0.0492
Y  0.4022  0.6367  0.6713
Ac  0.8832  0.6934  0.6442

Values from the calculation:
Symmetry ... P-3 (147)
ΔE_f ... 0.253 eV per atom

15.
Compound: AcDyY2
Source: Alexandria
Functional: PBE
Structure: optimized geometry

Cell: 3.6983 3.6983 12.0266 Å, 81.16 81.16 60.00°
Element x y z (fractional)
Ac  0.5004  0.5004  0.4987
Y  0.2539  0.2539  0.2384
Y  0.0794  0.0794  0.7620
Dy  0.6664  0.6664  0.0009

Values from the calculation:
Symmetry ... R3m (160)
Energy above the lowest structure with this stoichiometry ... 14 meV per atom
ΔE_f ... 0.061 eV per atom

16.
Compound: AcDy12Y3
Source: Alexandria
Functional: PBE
Structure: optimized geometry

Cell: 5.0585 5.0585 20.2426 Å, 90.00 90.00 90.00°
Element x y z (fractional)
Dy  0.5000  0.5000  0.0000
Dy  0.5000  0.5000  0.2542
Ac  0.0000  0.0000  0.0000
Dy  0.0000  0.5000  0.6233
Dy  0.0000  0.5000  0.1305
Y  0.0000  0.0000  0.2528
Dy  0.5000  0.5000  0.7458
Dy  0.5000  0.0000  0.3767
Dy  0.5000  0.0000  0.8695
Dy  0.0000  0.5000  0.3767
Dy  0.5000  0.0000  0.6233
Dy  0.5000  0.0000  0.1305
Dy  0.0000  0.5000  0.8695
Y  0.0000  0.0000  0.5000
Y  0.0000  0.0000  0.7472
Dy  0.5000  0.5000  0.5000

Values from the calculation:
Symmetry ... P4/mmm (123)
ΔE_f ... 0.033 eV per atom

17.
Compound: AcDy2Y7
Source: Alexandria
Functional: PBE
Structure: optimized geometry

Cell: 5.7821 8.9737 9.0231 Å, 104.47 109.55 116.85°
Element x y z (fractional)
Y  0.1197  0.8681  0.4063
Y  0.8075  0.3234  0.2896
Dy  0.5352  0.6632  0.4508
Y  0.8803  0.1319  0.5937
Y  0.6068  0.1893  0.8540
Y  0.3932  0.8107  0.1460
Y  0.5000  0.5000  0.0000
Y  0.1925  0.6766  0.7104
Ac  0.0000  0.0000  0.0000
Dy  0.4648  0.3368  0.5492

Values from the calculation:
Symmetry ... P-1 (2)
ΔE_f ... 0.220 eV per atom

18.
Compound: AcDy3Y6
Source: Alexandria
Functional: PBE
Structure: optimized geometry

Cell: 9.9129 9.9129 6.9913 Å, 44.85 44.85 60.00°
Element x y z (fractional)
Dy  0.6390  0.6390  0.0829
Y  0.2444  0.8995  0.3008
Y  0.7327  0.0669  0.8008
Dy  0.1620  0.1620  0.5139
Y  0.3996  0.7327  0.8008
Y  0.0669  0.3996  0.8008
Y  0.8995  0.5553  0.3008
Dy  0.4003  0.4003  0.7990
Y  0.5553  0.2444  0.3008
Ac  0.9001  0.9001  0.2996

Values from the calculation:
Symmetry ... R3 (146)
ΔE_f ... 0.294 eV per atom

19.
Compound: AcDy12Y6
Source: Alexandria
Functional: PBE
Structure: optimized geometry

Cell: 8.7446 8.7446 8.7446 Å, 98.92 98.92 98.92°
Element x y z (fractional)
Ac  0.0000  0.0000  0.0000
Dy  0.0791  0.3555  0.3555
Y  0.8932  0.8932  0.3459
Dy  0.7572  0.2428  0.5000
Dy  0.5000  0.7572  0.2428
Dy  0.5000  0.2428  0.7572
Dy  0.6445  0.6445  0.9209
Dy  0.2428  0.7572  0.5000
Y  0.6541  0.1068  0.1068
Dy  0.2428  0.5000  0.7572
Dy  0.7572  0.5000  0.2428
Y  0.1068  0.1068  0.6541
Y  0.3459  0.8932  0.8932
Dy  0.3555  0.0791  0.3555
Y  0.8932  0.3459  0.8932
Dy  0.9209  0.6445  0.6445
Dy  0.3555  0.3555  0.0791
Y  0.1068  0.6541  0.1068
Dy  0.6445  0.9209  0.6445

Values from the calculation:
Symmetry ... R-3m (166)
ΔE_f ... 0.210 eV per atom

20.
Compound: AcDy14Y
Source: Alexandria
Functional: PBE
Structure: optimized geometry

Cell: 7.2918 7.2918 11.3705 Å, 90.00 90.00 120.01°
Element x y z (fractional)
Dy  0.8306  0.6654  0.2551
Dy  0.8306  0.6654  0.7449
Dy  0.3347  0.6653  0.2542
Dy  0.8336  0.1664  0.2505
Dy  0.6669  0.3331  0.5000
Dy  0.1668  0.8332  0.5000
Dy  0.8336  0.1664  0.7495
Dy  0.3347  0.6653  0.7458
Dy  0.3346  0.1694  0.2551
Y  0.6657  0.3343  0.0000
Dy  0.3346  0.1694  0.7449
Dy  0.6653  0.8313  0.0000
Dy  0.6664  0.8331  0.5000
Dy  0.1669  0.3336  0.5000
Dy  0.1687  0.3347  0.0000
Ac  0.1662  0.8338  0.0000

Values from the calculation:
Symmetry ... Amm2 (38)
ΔE_f ... 0.020 eV per atom